Entry 1:
This record from Alexandria via LeMat-Bulk describes a relaxed PrAgSe2 crystal. The functional is PBE.

CIF file:
```
data_PrAgSe2
_chemical_formula_sum 'Pr3 Ag3 Se6'
_cell_length_a 4.4791
_cell_length_b 4.4791
_cell_length_c 23.9925
_cell_angle_alpha 90.00
_cell_angle_beta 90.00
_cell_angle_gamma 120.00
_space_group_name_H-M_alt 'R -3 m'
_space_group_IT_number 166
_space_group_name_Hall '-R 3 2"'
loop_
_atom_site_label
_atom_site_type_symbol
_atom_site_fract_x
_atom_site_fract_y
_atom_site_fract_z
Pr1 Pr 0.0000 0.0000 0.0000
Ag1 Ag 0.0000 0.0000 0.5000
Se1 Se 0.0000 0.0000 0.3966
```

Calculated values
- ΔE_f (raw) (eV per atom) = -1.1376



Entry 2:
This record from Alexandria via LeMat-Bulk describes a relaxed Tl3GaI6 crystal. The functional is PBE.

CIF file:
```
data_Tl3GaI6
_chemical_formula_sum 'Tl6 Ga2 I12'
_cell_length_a 8.0640
_cell_length_b 8.9246
_cell_length_c 13.6187
_cell_angle_alpha 90.00
_cell_angle_beta 121.39
_cell_angle_gamma 90.00
_space_group_name_H-M_alt 'P 1 21/c 1'
_space_group_IT_number 14
_space_group_name_Hall '-P 2ybc'
loop_
_atom_site_label
_atom_site_type_symbol
_atom_site_fract_x
_atom_site_fract_y
_atom_site_fract_z
Tl1 Tl 0.0000 0.0000 0.0000
Tl2 Tl 0.1932 0.0865 0.7344
Ga1 Ga 0.5000 0.0000 0.5000
I1 I 0.1697 0.1665 0.4604
I2 I 0.2710 0.7308 0.4264
I3 I 0.4042 0.0554 0.2738
```

Calculated values
- E above lowest polymorph (kJ per mole of atoms) = 7.21
- ΔE_f (raw) (eV per atom) = -0.5146



Entry 3:
This record from Alexandria via LeMat-Bulk describes a relaxed SnSe3O9 crystal. The functional is PBE.

CIF file:
```
data_SnSe3O9
_chemical_formula_sum 'Sn4 Se12 O36'
_cell_length_a 16.1635
_cell_length_b 6.8898
_cell_length_c 9.9450
_cell_angle_alpha 90.00
_cell_angle_beta 125.82
_cell_angle_gamma 90.00
_space_group_name_H-M_alt 'C 1 c 1'
_space_group_IT_number 9
_space_group_name_Hall 'C -2yc'
loop_
_atom_site_label
_atom_site_type_symbol
_atom_site_fract_x
_atom_site_fract_y
_atom_site_fract_z
Sn1 Sn 0.0000 0.2379 0.0000
Se1 Se 0.1043 0.1127 0.7978
Se2 Se 0.2457 0.4701 0.2594
Se3 Se 0.4022 0.1016 0.7064
O1 O 0.0081 0.3332 0.2084
O2 O 0.0399 0.0436 0.5908
O3 O 0.1274 0.3514 0.7845
O4 O 0.1578 0.2905 0.1355
O5 O 0.2728 0.4073 0.6461
O6 O 0.3388 0.0820 0.0778
O7 O 0.3455 0.3129 0.3954
O8 O 0.4649 0.0226 0.9086
O9 O 0.4963 0.3583 0.2994
```

Calculated values
- ΔE_f (raw) (eV per atom) = -0.7017



Entry 4:
This record from Alexandria via LeMat-Bulk describes a relaxed AlCu2HgOs crystal. The functional is PBE.

CIF file:
```
data_AlCu2HgOs
_chemical_formula_sum 'Al1 Cu2 Hg1 Os1'
_cell_length_a 4.6966
_cell_length_b 4.6966
_cell_length_c 5.2144
_cell_angle_alpha 90.00
_cell_angle_beta 90.00
_cell_angle_gamma 90.00
_space_group_name_H-M_alt 'P 4/m m m'
_space_group_IT_number 123
_space_group_name_Hall '-P 4 2'
loop_
_atom_site_label
_atom_site_type_symbol
_atom_site_fract_x
_atom_site_fract_y
_atom_site_fract_z
Al1 Al 0.0000 0.0000 0.0000
Cu1 Cu 0.0000 0.5000 0.5000
Hg1 Hg 0.5000 0.5000 0.0000
Os1 Os 0.5000 0.5000 0.5000
```

Calculated values
- formation energy from the elements (meV/atom) = 1252